[1]
{"formula": "HfZnSe2Br", "functional": "meta-GGA SCAN", "state": "PBEsol geometry", "lattice_angstrom": [[5.108, 0.000, 0.000], [0.000, 5.108, 0.000], [0.000, 0.000, 5.221]], "species": ["Hf", "Zn", "Se", "Se", "Br"], "frac_coords": [[0.000, 0.000, 0.000], [0.500, 0.500, 0.500], [0.000, 0.500, 0.000], [0.500, 0.000, 0.000], [0.000, 0.000, 0.500]], "m_tot_mub_per_atom": 0.000, "rho_g_cm3": 5.9, "raw_formation_energy_ev_per_atom": -0.522, "de_polymorph_mev_per_atom": 0, "space_group": "P4/mmm"}



[2]
{"formula": "Sc2CrHg", "functional": "meta-GGA SCAN", "state": "PBEsol geometry", "lattice_angstrom": [[4.725, 0.000, 0.000], [0.000, 4.725, 0.000], [0.000, 0.000, 3.484]], "species": ["Sc", "Sc", "Cr", "Hg"], "frac_coords": [[0.000, 0.500, 0.000], [0.500, 0.000, 0.000], [0.000, 0.000, 0.500], [0.500, 0.500, 0.500]], "m_tot_mub_per_atom": 1.050, "rho_g_cm3": 7.3, "e_form_ev_per_atom": -0.314, "space_group": "P4/mmm"}



[3]
{"formula": "Ir2AuSe", "functional": "meta-GGA SCAN", "state": "PBEsol geometry", "lattice_angstrom": [[2.787, 0.000, 0.000], [0.000, 3.606, 0.000], [0.000, 0.000, 6.460]], "species": ["Ir", "Ir", "Au", "Se"], "frac_coords": [[0.000, 0.000, 0.000], [0.500, 0.500, 0.225], [0.500, 0.500, 0.750], [0.000, 0.000, 0.419]], "m_tot_mub_per_atom": 0.000, "rho_g_cm3": 16.9, "raw_formation_energy_ev_per_atom": 0.465, "space_group": "Pmm2"}